A relaxed CeErSe2 crystal, computed with PBE-GGA.

abc: 3.9698 3.9698 7.7084
angles: 75.08 75.08 60.00
Fractional coordinates of all 4 atoms:
Ce 0.6709 0.6709 0.9872
Er 0.4959 0.4959 0.5124
Se 0.0870 0.0870 0.7390
Se 0.2462 0.2462 0.2614

Summary:
- space group = R3m (160)
- volume (Å³ per cell) = 100.4
- magnetization (μB/f.u.) = 1.1
- energy relative to the elements, uncorrected (meV per atom) = -1699
- polymorph energy (0 for the lowest one) (meV/atom) = 75
- D(E_F) (states/eV/f.u.) = 6.25

***

A relaxed K2Mg4InSn3 crystal, computed with PBE-GGA.

abc: 4.7668 4.7668 13.0291
angles: 90.00 90.00 90.00
Fractional coordinates of all 10 atoms:
K 0.5000 0.0000 0.2433
K 0.0000 0.5000 0.7567
Mg 0.5000 0.5000 0.0000
Mg 0.0000 0.0000 0.0000
Mg 0.5000 0.0000 0.6456
Mg 0.0000 0.5000 0.3544
In 0.5000 0.5000 0.5000
Sn 0.0000 0.0000 0.5000
Sn 0.5000 0.0000 0.8656
Sn 0.0000 0.5000 0.1344

Summary:
- space group = P-4m2 (115)
- volume (Å³ per cell) = 296.0
- formation energy (kJ/mol of formula units) = -162
- magnetization (μB/f.u.) = 0.0
- D(E_F) (states/eV/f.u.) = 6.11

***

A relaxed CuAg2Sn crystal, computed with PBE-GGA.

abc: 3.2915 3.2915 6.8337
angles: 90.00 90.00 90.00
Fractional coordinates of all 4 atoms:
Cu 0.5000 0.5000 0.0000
Sn 0.5000 0.5000 0.5000
Ag 0.0000 0.0000 0.7903
Ag 0.0000 0.0000 0.2097

Summary:
- space group = P4/mmm (123)
- volume (Å³ per cell) = 74.0
- formation energy (kJ/mol of formula units) = 41
- magnetization (μB/f.u.) = 0.0
- D(E_F) (states/eV/f.u.) = 1.29

***

A relaxed LuNi4Pb crystal, computed with PBE-GGA.

abc: 5.0072 5.0072 5.0072
angles: 60.00 60.00 60.00
Fractional coordinates of all 6 atoms:
Pb 0.0000 0.0000 0.0000
Ni 0.6247 0.6247 0.1259
Ni 0.6247 0.1259 0.6247
Ni 0.6247 0.6247 0.6247
Ni 0.1259 0.6247 0.6247
Lu 0.2500 0.2500 0.2500

Summary:
- space group = F-43m (216)
- volume (Å³ per cell) = 88.8
- formation energy (kJ/mol of formula units) = -157
- magnetization (μB/f.u.) = 0.0
- D(E_F) (states/eV/f.u.) = 6.23

***

A relaxed CeHg3Se2F6 crystal, computed with PBE-GGA.

abc: 4.9623 7.6305 8.1482
angles: 117.92 108.30 90.00
Fractional coordinates of all 12 atoms:
Ce 0.5000 0.0000 0.0000
Hg 0.0000 0.5000 0.0000
Hg 0.5000 0.5000 0.5000
Hg 0.5000 0.0000 0.5000
Se 0.1435 0.6868 0.3736
Se 0.8565 0.3132 0.6264
F 0.7293 0.3108 0.1894
F 0.2707 0.6892 0.8106
F 0.7493 0.9013 0.8026
F 0.2507 0.0987 0.1974
F 0.2707 0.1214 0.8106
F 0.7293 0.8786 0.1894

Summary:
- space group = C2/m (12)
- volume (Å³ per cell) = 254.8
- magnetization (μB/f.u.) = 0.0
- energy relative to the elements, uncorrected (meV per atom) = -2040
- D(E_F) (states/eV/f.u.) = 0.00